# 1
# NaZrIO2, optimized geometry, DFT PBE
data_NaZrIO2
_chemical_formula_sum 'Na1 Zr1 I1 O2'
_space_group_name_H-M_alt 'P 4/m m m'
_space_group_IT_number 123
_space_group_name_Hall '-P 4 2'
_cell_length_a 4.2495
_cell_length_b 4.2495
_cell_length_c 4.9948
_cell_angle_alpha 90.00
_cell_angle_beta 90.00
_cell_angle_gamma 90.00
loop_
_atom_site_label
_atom_site_type_symbol
_atom_site_fract_x
_atom_site_fract_y
_atom_site_fract_z
Na1 Na 0.0000 0.0000 0.0000
Zr1 Zr 0.5000 0.5000 0.5000
I1 I 0.0000 0.0000 0.5000
O1 O 0.0000 0.5000 0.0000
# - total DFT energy (no corrections) (eV/cell) = -20.7
# - ΔE to the lowest computed polymorph (meV per atom) = 2083



# 2
# Er12Tm7Al, optimized geometry, DFT PBE
data_Er12Tm7Al
_chemical_formula_sum 'Er36 Tm21 Al3'
_space_group_name_H-M_alt 'R -3'
_space_group_IT_number 148
_space_group_name_Hall '-R 3'
_cell_length_a 11.9212
_cell_length_b 11.9212
_cell_length_c 15.0136
_cell_angle_alpha 90.00
_cell_angle_beta 90.00
_cell_angle_gamma 120.00
loop_
_atom_site_label
_atom_site_type_symbol
_atom_site_fract_x
_atom_site_fract_y
_atom_site_fract_z
Er1 Er 0.0361 0.4563 0.2074
Er2 Er 0.0585 0.5869 0.5876
Tm1 Tm 0.0000 0.0000 0.0000
Tm2 Tm 0.0502 0.1875 0.3047
Al1 Al 0.0000 0.0000 0.5000
# - total DFT energy (no corrections) (eV/cell) = -257.6
# - E_form (eV per atom) = 0.1960



# 3
# SbIr, optimized geometry, DFT PBE
data_SbIr
_chemical_formula_sum 'Sb6 Ir6'
_space_group_name_H-M_alt 'R -3 m'
_space_group_IT_number 166
_space_group_name_Hall '-R 3 2"'
_cell_length_a 4.1754
_cell_length_b 4.1754
_cell_length_c 18.2915
_cell_angle_alpha 90.00
_cell_angle_beta 90.00
_cell_angle_gamma 120.00
loop_
_atom_site_label
_atom_site_type_symbol
_atom_site_fract_x
_atom_site_fract_y
_atom_site_fract_z
Sb1 Sb 0.0000 0.0000 0.0947
Ir1 Ir 0.0000 0.0000 0.3522
# - total DFT energy (no corrections) (eV/cell) = -76.3



# 4
# V8AuC2, optimized geometry, DFT PBE
data_V8AuC2
_chemical_formula_sum 'V16 Au2 C4'
_space_group_name_H-M_alt 'I m m m'
_space_group_IT_number 71
_space_group_name_Hall '-I 2 2'
_cell_length_a 4.3616
_cell_length_b 4.8143
_cell_length_c 12.8833
_cell_angle_alpha 90.00
_cell_angle_beta 90.00
_cell_angle_gamma 90.00
loop_
_atom_site_label
_atom_site_type_symbol
_atom_site_fract_x
_atom_site_fract_y
_atom_site_fract_z
V1 V 0.0000 0.0000 0.1125
V2 V 0.0000 0.2453 0.4022
V3 V 0.0000 0.5000 0.2280
Au1 Au 0.0000 0.5000 0.0000
C1 C 0.0000 0.0000 0.2679
# - total DFT energy (no corrections) (eV/cell) = -189.7
# - E_form (eV per atom) = -0.0150



# 5
# LuZr2Bi, optimized geometry, DFT PBE
data_LuZr2Bi
_chemical_formula_sum 'Lu3 Zr6 Bi3'
_space_group_name_H-M_alt 'R -3 m'
_space_group_IT_number 166
_space_group_name_Hall '-R 3 2"'
_cell_length_a 3.2647
_cell_length_b 3.2647
_cell_length_c 34.3758
_cell_angle_alpha 90.00
_cell_angle_beta 90.00
_cell_angle_gamma 120.00
loop_
_atom_site_label
_atom_site_type_symbol
_atom_site_fract_x
_atom_site_fract_y
_atom_site_fract_z
Lu1 Lu 0.0000 0.0000 0.0000
Zr1 Zr 0.0000 0.0000 0.0907
Bi1 Bi 0.0000 0.0000 0.5000
# - total DFT energy (no corrections) (eV/cell) = -73.1
# - ΔE to the lowest computed polymorph (meV per atom) = 479
# - E_form (eV per atom) = 0.2863



# 6
# LaTb2Fe9, optimized geometry, DFT PBE
data_LaTb2Fe9
_chemical_formula_sum 'La3 Tb6 Fe27'
_space_group_name_H-M_alt 'R -3 m'
_space_group_IT_number 166
_space_group_name_Hall '-R 3 2"'
_cell_length_a 5.1508
_cell_length_b 5.1508
_cell_length_c 24.5249
_cell_angle_alpha 90.00
_cell_angle_beta 90.00
_cell_angle_gamma 120.00
loop_
_atom_site_label
_atom_site_type_symbol
_atom_site_fract_x
_atom_site_fract_y
_atom_site_fract_z
La1 La 0.0000 0.0000 0.0000
Tb1 Tb 0.0000 0.0000 0.1420
Fe1 Fe 0.0000 0.0000 0.3326
Fe2 Fe 0.0000 0.0000 0.5000
Fe3 Fe 0.0018 0.5009 0.0828
# - total DFT energy (no corrections) (eV/cell) = -271.3
# - E_form (eV per atom) = -0.0070